Record 1
Compound: PrThFe10
Source: the Alexandria database
Functional: PBE
Structure: relaxed

As for the raw total energy: -96.8 eV per cell. The density of states at the Fermi level is 16.26 states/eV/f.u. As for the crystal system: orthorhombic.

It has space group Pmmm (No. 47), with a = 3.999 Å, b = 5.105 Å, c = 8.832 Å, α = 90.00°, β = 90.00° and γ = 90.00°. The inequivalent atoms are Pr at (0.000, 0.000, 0.000), Th at (0.000, 0.500, 0.500), Fe at (0.000, 0.000, 0.335), Fe at (0.000, 0.500, 0.169), Fe at (0.500, 0.000, 0.500), Fe at (0.500, 0.251, 0.251) and Fe at (0.500, 0.500, 0.000).

Record 2
Compound: TlRuW2
Source: the Alexandria database
Functional: PBE
Structure: relaxed

As for the polymorph energy (0 for the lowest one): 0.47 eV/f.u. As for the raw total energy: -70.3 eV per cell. The density of states at the Fermi level is 2.17 states/eV/f.u. As for the crystal system: orthorhombic.

It has space group Immm (No. 71), with a = 3.242 Å, b = 4.435 Å, c = 9.372 Å, α = 90.00°, β = 90.00° and γ = 90.00°. The inequivalent atoms are Tl at (0.000, 0.000, 0.000), Ru at (0.000, 0.000, 0.500) and W at (0.000, 0.500, 0.243).

The records above yield calculated formation energy values of 0.003 0.605 eV/atom, respectively.